{
  "formula": "Tb6Pr2Ho3Er",
  "functional": "GGA-PBE",
  "state": "relaxed",
  "cell": [[-5.808, 0.112, -2.120], [4.657, -1.396, -3.822], [-0.811, -10.867, 4.643]],
  "species": ["Tb", "Er", "Ho", "Ho", "Tb", "Pr", "Tb", "Pr", "Tb", "Tb", "Ho", "Tb"],
  "fractional_positions": [[0.417, 0.085, 0.253], [0.000, 0.000, 0.000], [0.834, 0.166, 0.500], [0.166, 0.834, 0.500], [0.583, 0.915, 0.747], [0.667, 0.333, 0.000], [0.915, 0.583, 0.747], [0.333, 0.667, 0.000], [0.753, 0.753, 0.254], [0.085, 0.417, 0.253], [0.500, 0.500, 0.500], [0.247, 0.247, 0.746]],
  "mass_density_g_cm3": 8.15,
  "total_energy_ev_per_cell": -55.4,
  "crystal_system": "monoclinic",
  "ef_ev_per_atom": 0.017
}